# 1
ScPPtF2 after structural relaxation, computed with GGA-PBE. Values from VASP.

Quantum ESPRESSO input file:
```
&SYSTEM
  ibrav = 0, nat = 5, ntyp = 4
/
ATOMIC_SPECIES
Pt 195.08 Pt.upf
F 19.00 F.upf
Sc 44.96 Sc.upf
P 30.97 P.upf
CELL_PARAMETERS angstrom
-3.367 -0.685 -1.742
-0.542 -4.873 2.964
-1.837 1.907 2.799
ATOMIC_POSITIONS crystal
Pt 0.500 0.500 0.500
F 0.500 0.000 0.000
F 0.000 0.000 0.500
Sc 0.000 0.500 0.000
P 0.000 0.000 0.000
```

Summary:
raw formation energy	-4.80	eV/f.u.
total DFT energy (no corrections)	-26.33	eV per formula unit

***

# 2
Pu2PF after structural relaxation, computed with GGA-PBE. Values from VASP.

Quantum ESPRESSO input file:
```
&SYSTEM
  ibrav = 0, nat = 4, ntyp = 3
/
ATOMIC_SPECIES
Pu 244.00 Pu.upf
F 19.00 F.upf
P 30.97 P.upf
CELL_PARAMETERS angstrom
-0.271 0.606 3.788
1.245 -2.673 2.469
6.382 2.117 2.070
ATOMIC_POSITIONS crystal
Pu 0.088 0.088 0.737
Pu 0.255 0.255 0.236
F 0.487 0.487 0.539
P 0.671 0.671 0.987
```

Summary:
distance to the lowest polymorph of the same formula	33.4	kJ/mol of formula units
raw formation energy	-6.14	eV/f.u.
total DFT energy (no corrections)	-42.08	eV per formula unit

***

# 3
PuPF after structural relaxation, computed with GGA-PBE. Values from VASP.

Quantum ESPRESSO input file:
```
&SYSTEM
  ibrav = 0, nat = 6, ntyp = 3
/
ATOMIC_SPECIES
Pu 244.00 Pu.upf
F 19.00 F.upf
P 30.97 P.upf
CELL_PARAMETERS angstrom
-0.848 0.421 3.734
-4.083 -1.153 -2.784
3.818 -5.765 1.516
ATOMIC_POSITIONS crystal
Pu 0.193 0.386 0.227
Pu 0.807 0.614 0.773
F 0.182 0.365 0.572
F 0.818 0.635 0.428
P 0.559 0.117 0.894
P 0.441 0.883 0.106
```

Summary:
distance to the lowest polymorph of the same formula	0.0	kJ/mol of formula units
raw formation energy	-6.10	eV/f.u.
total DFT energy (no corrections)	-27.71	eV per formula unit

***

# 4
Pu4PF5 after structural relaxation, computed with GGA-PBE. Values from VASP.

Quantum ESPRESSO input file:
```
&SYSTEM
  ibrav = 0, nat = 10, ntyp = 3
/
ATOMIC_SPECIES
Pu 244.00 Pu.upf
F 19.00 F.upf
P 30.97 P.upf
CELL_PARAMETERS angstrom
-0.096 -0.896 3.242
6.110 -4.694 -1.117
4.755 5.029 -0.216
ATOMIC_POSITIONS crystal
Pu 0.048 0.727 0.097
Pu 0.709 0.086 0.418
Pu 0.291 0.914 0.582
Pu 0.952 0.273 0.903
F 0.500 0.500 0.000
F 0.131 0.274 0.261
F 0.788 0.340 0.577
F 0.212 0.660 0.423
F 0.869 0.726 0.739
P 0.500 0.000 0.000
```

Summary:
raw formation energy	-22.76	eV/f.u.
total DFT energy (no corrections)	-94.86	eV per formula unit

***

# 5
Pu2PF after structural relaxation, computed with GGA-PBE. Values from VASP.

Quantum ESPRESSO input file:
```
&SYSTEM
  ibrav = 0, nat = 4, ntyp = 3
/
ATOMIC_SPECIES
P 30.97 P.upf
Pu 244.00 Pu.upf
F 19.00 F.upf
CELL_PARAMETERS angstrom
3.425 0.000 0.000
0.000 3.425 0.000
0.000 0.000 6.545
ATOMIC_POSITIONS crystal
P 0.500 0.500 0.500
Pu 0.000 0.000 0.739
Pu 0.000 0.000 0.261
F 0.500 0.500 0.000
```

Summary:
distance to the lowest polymorph of the same formula	70.5	kJ/mol of formula units
raw formation energy	-5.76	eV/f.u.
total DFT energy (no corrections)	-41.70	eV per formula unit

***

# 6
Pu2PF after structural relaxation, computed with GGA-PBE. Values from VASP.

Quantum ESPRESSO input file:
```
&SYSTEM
  ibrav = 0, nat = 4, ntyp = 3
/
ATOMIC_SPECIES
Pu 244.00 Pu.upf
F 19.00 F.upf
P 30.97 P.upf
CELL_PARAMETERS angstrom
-4.602 0.356 1.267
-3.220 -3.050 -1.799
-1.972 -3.332 2.814
ATOMIC_POSITIONS crystal
Pu 0.750 0.750 0.750
Pu 0.250 0.250 0.250
F 0.000 0.000 0.000
P 0.500 0.500 0.500
```

Summary:
distance to the lowest polymorph of the same formula	63.4	kJ/mol of formula units
raw formation energy	-5.83	eV/f.u.
total DFT energy (no corrections)	-41.77	eV per formula unit

***

# 7
PuPF after structural relaxation, computed with GGA-PBE. Values from VASP.

Quantum ESPRESSO input file:
```
&SYSTEM
  ibrav = 0, nat = 3, ntyp = 3
/
ATOMIC_SPECIES
F 19.00 F.upf
P 30.97 P.upf
Pu 244.00 Pu.upf
CELL_PARAMETERS angstrom
-2.325 -2.086 0.986
-0.714 -0.680 -3.124
4.855 -2.315 1.111
ATOMIC_POSITIONS crystal
F 0.295 0.295 0.590
P 0.008 0.008 0.016
Pu 0.697 0.697 0.394
```

Summary:
distance to the lowest polymorph of the same formula	164.1	kJ/mol of formula units
raw formation energy	-4.40	eV/f.u.
total DFT energy (no corrections)	-26.01	eV per formula unit

***

# 8
Pu2PF after structural relaxation, computed with GGA-PBE. Values from VASP.

Quantum ESPRESSO input file:
```
&SYSTEM
  ibrav = 0, nat = 4, ntyp = 3
/
ATOMIC_SPECIES
Pu 244.00 Pu.upf
P 30.97 P.upf
F 19.00 F.upf
CELL_PARAMETERS angstrom
-2.585 -0.471 -2.937
-0.446 -3.535 -1.685
-5.287 -2.694 2.442
ATOMIC_POSITIONS crystal
Pu 0.244 0.244 0.268
Pu 0.756 0.756 0.732
P 0.000 0.000 0.000
F 0.500 0.500 0.500
```

Summary:
distance to the lowest polymorph of the same formula	0.0	kJ/mol of formula units
raw formation energy	-6.49	eV/f.u.
total DFT energy (no corrections)	-42.43	eV per formula unit

***

# 9
PuPF after structural relaxation, computed with GGA-PBE. Values from VASP.

Quantum ESPRESSO input file:
```
&SYSTEM
  ibrav = 0, nat = 3, ntyp = 3
/
ATOMIC_SPECIES
F 19.00 F.upf
Pu 244.00 Pu.upf
P 30.97 P.upf
CELL_PARAMETERS angstrom
-0.958 -3.281 1.729
3.643 -0.180 1.675
-2.993 1.877 1.904
ATOMIC_POSITIONS crystal
F 0.167 0.000 0.000
Pu 0.167 0.667 0.333
P 0.667 0.333 0.667
```

Summary:
distance to the lowest polymorph of the same formula	62.8	kJ/mol of formula units
raw formation energy	-5.45	eV/f.u.
total DFT energy (no corrections)	-27.06	eV per formula unit

***

# 10
Pu4P3F after structural relaxation, computed with GGA-PBE. Values from VASP.

Quantum ESPRESSO input file:
```
&SYSTEM
  ibrav = 0, nat = 8, ntyp = 3
/
ATOMIC_SPECIES
Pu 244.00 Pu.upf
F 19.00 F.upf
P 30.97 P.upf
CELL_PARAMETERS angstrom
3.974 -0.050 0.067
0.049 6.496 1.922
-0.109 0.401 6.762
ATOMIC_POSITIONS crystal
Pu 0.000 0.253 0.244
Pu 0.500 0.747 0.247
Pu 0.000 0.745 0.752
Pu 0.500 0.256 0.756
F 0.500 0.499 0.000
P 0.000 0.498 0.499
P 0.500 0.004 0.504
P 0.000 0.000 0.998
```

Summary:
raw formation energy	-11.05	eV/f.u.
total DFT energy (no corrections)	-86.48	eV per formula unit

***

# 11
PuPF after structural relaxation, computed with GGA-PBE. Values from VASP.

Quantum ESPRESSO input file:
```
&SYSTEM
  ibrav = 0, nat = 12, ntyp = 3
/
ATOMIC_SPECIES
Pu 244.00 Pu.upf
P 30.97 P.upf
F 19.00 F.upf
CELL_PARAMETERS angstrom
5.450 0.000 0.000
-2.725 5.589 0.000
0.000 0.000 7.195
ATOMIC_POSITIONS crystal
Pu 0.336 0.673 0.038
Pu 0.164 0.327 0.538
Pu 0.664 0.327 0.962
Pu 0.836 0.673 0.462
P 0.428 0.855 0.404
P 0.928 0.855 0.096
P 0.072 0.145 0.904
P 0.572 0.145 0.596
F 0.546 0.593 0.750
F 0.454 0.407 0.250
F 0.954 0.407 0.250
F 0.046 0.593 0.750
```

Summary:
distance to the lowest polymorph of the same formula	80.8	kJ/mol of formula units
raw formation energy	-5.26	eV/f.u.
total DFT energy (no corrections)	-26.87	eV per formula unit

***

# 12
Pu2PF2 after structural relaxation, computed with GGA-PBE. Values from VASP.

Quantum ESPRESSO input file:
```
&SYSTEM
  ibrav = 0, nat = 5, ntyp = 3
/
ATOMIC_SPECIES
Pu 244.00 Pu.upf
P 30.97 P.upf
F 19.00 F.upf
CELL_PARAMETERS angstrom
-2.299 2.897 1.150
-3.743 0.014 -0.996
-3.761 -2.998 6.560
ATOMIC_POSITIONS crystal
Pu 0.406 0.406 0.783
Pu 0.594 0.594 0.217
P 0.000 0.000 0.000
F 0.217 0.217 0.349
F 0.783 0.783 0.651
```

Summary:
raw formation energy	-11.57	eV/f.u.
total DFT energy (no corrections)	-49.39	eV per formula unit

***

The lowest total DFT energy (no corrections) belongs to which entry? Pu4PF5

***

Which of these has the highest raw formation energy? number 7

***

What is the raw formation energy in the sixth record? -5.83 eV/f.u.